No. 1
DFT (PBE) results for crystalline CrReCl at its relaxed geometry.

abc: 4.0668 4.0668 2.8555
angles: 90.00 90.00 120.00
Sites, in units of the cell vectors:
Re (0.3333, 0.6667, 0.7609)
Cl (0.0000, 0.0000, 0.0180)
Cr (0.6667, 0.3333, 0.2211)

Summary:
**Polymorph energy (0 for the lowest one)**: 84.5 kJ per mole of atoms

No. 2
DFT (PBE) results for crystalline CrReCl at its relaxed geometry.

abc: 6.9545 6.6736 2.9107
angles: 83.13 72.31 24.55
Last column: magnetic moment on the atom in μB.
Sites, in units of the cell vectors:
Re (0.6926, 0.6926, 0.3074)  -0.43
Cl (0.9762, 0.9762, 0.0238)  0.03
Cr (0.3312, 0.3312, 0.6688)  1.81

Summary:
**Polymorph energy (0 for the lowest one)**: 52.3 kJ per mole of atoms

No. 3
DFT (PBE) results for crystalline CrReCl at its relaxed geometry.

abc: 5.8692 5.8692 5.8692
angles: 151.39 151.39 40.91
Last column: magnetic moment on the atom in μB.
Sites, in units of the cell vectors:
Re (0.6858, 0.6858, 0.0000)  -0.57
Cl (0.9956, 0.9956, 0.0000)  -0.01
Cr (0.3186, 0.3186, 0.0000)  1.75

Summary:
**Polymorph energy (0 for the lowest one)**: 56.9 kJ per mole of atoms

No. 4
DFT (PBE) results for crystalline CrReCl2 at its relaxed geometry.

abc: 8.0437 8.0437 8.0437
angles: 21.13 21.13 21.13
Sites, in units of the cell vectors:
Re (0.0000, 0.0000, 0.0000)
Cl (0.9020, 0.9020, 0.9020)
Cl (0.0980, 0.0980, 0.0980)
Cr (0.5000, 0.5000, 0.5000)

Summary:
**Polymorph energy (0 for the lowest one)**: 57.1 kJ per mole of atoms